Na2CoSe2: relaxed, PBE-GGA.

Unit cell a=6.678 b=6.678 c=4.584 alpha=90.00 beta=90.00 gamma=90.00
Element x y z (fractional)
Na 0.153 0.347 0.000
Na 0.347 0.847 0.000
Na 0.653 0.153 0.000
Na 0.847 0.653 0.000
Co 0.000 0.000 0.500
Co 0.500 0.500 0.500
Se 0.172 0.672 0.500
Se 0.328 0.172 0.500
Se 0.672 0.828 0.500
Se 0.828 0.328 0.500

Results
**Magnetization**: 2.7 μB/cell
**Symmetry**: P4/mbm (127)
**Energy relative to the elements, uncorrected**: -0.433 eV/atom

---

Th3ZnCo8: relaxed, PBE-GGA.

Unit cell a=8.801 b=8.801 c=8.801 alpha=33.28 beta=33.28 gamma=33.28
Element x y z (fractional)
Th 0.000 0.000 0.000
Th 0.130 0.130 0.130
Th 0.613 0.613 0.613
Zn 0.492 0.492 0.492
Co 0.058 0.058 0.561
Co 0.058 0.561 0.058
Co 0.067 0.562 0.562
Co 0.310 0.310 0.310
Co 0.561 0.058 0.058
Co 0.562 0.067 0.562
Co 0.562 0.562 0.067
Co 0.812 0.812 0.812

Results
**Energy relative to the elements**: -0.165 eV/atom
**Magnetization**: 4.5 μB/cell
**Symmetry**: R3m (160)

---

- Which of these has the lowest magnetization?
  Na2CoSe2

---

- The lowest magnetization belongs to which entry?
  Na2CoSe2

---

- magnetization of number 2 (Th3ZnCo8)?
  4.5 μB/cell